A plane-wave DFT calculation with PBE-GGA was carried out for a relaxed VB2 crystal.

```
VB2
1.0
0.013 -2.826 1.203
2.076 1.184 1.929
-3.620 1.956 -0.519
V B
1 2
Direct
0.500 0.500 0.000
0.205 0.205 0.288
0.795 0.795 0.712
```

A plane-wave DFT calculation with PBE-GGA was carried out for a relaxed VB4 crystal.

```
VB4
1.0
-1.769 -2.293 -2.600
2.897 -5.556 2.930
-5.438 -0.603 4.233
B V
16 4
Direct
0.500 0.820 0.027
0.500 0.680 0.527
0.500 0.973 0.820
0.500 0.087 0.413
0.500 0.913 0.587
0.800 0.500 0.500
0.500 0.473 0.680
0.500 0.320 0.473
0.500 0.527 0.320
0.500 0.027 0.180
0.500 0.587 0.087
0.500 0.180 0.973
0.200 0.500 0.500
0.500 0.413 0.913
0.200 0.000 0.000
0.800 0.000 0.000
0.000 0.390 0.110
0.000 0.610 0.890
0.000 0.890 0.390
0.000 0.110 0.610
```

A plane-wave DFT calculation with PBE-GGA was carried out for a relaxed V5B crystal.

```
V5B
1.0
-1.438 -1.900 -2.072
-0.759 -2.515 2.832
-4.757 3.995 -0.360
V B
5 1
Direct
0.000 0.658 0.315
0.500 0.848 0.696
0.500 0.500 0.000
0.000 0.342 0.685
0.500 0.152 0.304
0.000 0.000 0.000
```

no.,spin magnetization (μB per atom),DOS at the Fermi energy (states/eV per atom),VASP energy (eV/atom)
1,0.167,0.5929,-7.681
2,0.000,0.3120,-7.003
3,0.000,0.8966,-8.751